A relaxed Pm12YTl4O3 crystal, computed with GGA-PBE.

a b c (Å): 8.8924 8.8924 8.8924
angles (deg): 109.47 109.47 109.47
Closest atoms and distances in Å follow each position.
Sites, in units of the cell vectors:
O (0.5000, 0.0000, 0.5000)  6 Pm 2.31-2.57
O (0.0000, 0.5000, 0.5000)  6 Pm 2.31-2.57
O (0.5000, 0.5000, 0.0000)  6 Pm 2.31-2.57
Pm (0.0000, 0.7248, 0.7248)  1 O 2.31
Pm (0.7248, 0.7248, 0.0000)  1 O 2.31
Pm (0.2500, 0.5000, 0.7500)  2 O 2.57
Pm (0.2752, 0.2752, 0.0000)  1 O 2.31
Pm (0.2500, 0.7500, 0.5000)  2 O 2.57
Pm (0.2752, 0.0000, 0.2752)  1 O 2.31
Pm (0.7248, 0.0000, 0.7248)  1 O 2.31
Pm (0.0000, 0.2752, 0.2752)  1 O 2.31
Pm (0.5000, 0.2500, 0.7500)  2 O 2.57
Pm (0.7500, 0.2500, 0.5000)  2 O 2.57
Pm (0.5000, 0.7500, 0.2500)  2 O 2.57
Pm (0.7500, 0.5000, 0.2500)  2 O 2.57
Tl (0.5000, 0.5000, 0.5000)  12 Pm 3.63-3.64
Tl (0.0000, 0.5000, 0.0000)  12 Pm 3.63-3.64
Tl (0.0000, 0.0000, 0.5000)  12 Pm 3.63-3.64
Tl (0.5000, 0.0000, 0.0000)  12 Pm 3.63-3.64
Y (0.0000, 0.0000, 0.0000)  6 Pm 2.83

Summary:
* ΔE_f (raw): -0.732 eV/atom
* energy: -0.3765 Ry per atom